## A
Entry from the Alexandria database: a geometry-optimized HoTmCoPd structure (PBE).

Geometry as POSCAR:
```
HoTmCoPd
1.0
0.000 3.395 3.395
3.395 0.000 3.395
3.395 3.395 0.000
Ho Tm Co Pd
1 1 1 1
Direct
0.000 0.000 0.000 Ho
0.500 0.500 0.500 Tm
0.750 0.750 0.750 Co
0.250 0.250 0.250 Pd
```

Summary:
As for the density of states at the Fermi level: 2.09 states/eV/cell. The density is 10.6 g/cm³.

***

## B
Entry from the Alexandria database: a geometry-optimized HoTmCoPd structure (PBE).

Geometry as POSCAR:
```
HoTmCoPd
1.0
3.370 0.000 0.000
0.000 3.370 0.000
0.000 0.000 6.840
Ho Tm Co Pd
1 1 1 1
Direct
0.000 0.000 0.000 Ho
0.000 0.000 0.527 Tm
0.500 0.500 0.761 Co
0.500 0.500 0.268 Pd
```

Summary:
As for the density of states at the Fermi level: 1.60 states/eV/cell. The density is 10.7 g/cm³.

***

Stability summary: most stable B, least stable A.

***

## A
Entry from the Alexandria database: a geometry-optimized PmHoCo structure (PBE).

Geometry as POSCAR:
```
PmHoCo
1.0
0.000 3.347 3.347
3.347 0.000 3.347
3.347 3.347 0.000
Pm Ho Co
1 1 1
Direct
0.000 0.000 0.000 Pm
0.500 0.500 0.500 Ho
0.750 0.750 0.750 Co
```

Summary:
As for the density of states at the Fermi level: 3.21 states/eV/cell. The density is 8.2 g/cm³.

***

## B
Entry from the Alexandria database: a geometry-optimized PmHoCo structure (PBE).

Geometry as POSCAR:
```
PmHoCo
1.0
6.633 -1.695 0.000
6.633 1.695 0.000
-1.794 0.000 6.593
Pm Ho Co
2 2 2
Direct
0.128 0.128 0.066 Pm
0.872 0.872 0.934 Pm
0.126 0.126 0.562 Ho
0.874 0.874 0.438 Ho
0.498 0.498 0.263 Co
0.502 0.502 0.737 Co
```

Summary:
As for the density of states at the Fermi level: 5.58 states/eV/cell. The density is 8.3 g/cm³.

***

## C
Entry from the Alexandria database: a geometry-optimized PmHoCo structure (PBE).

Geometry as POSCAR:
```
PmHoCo
1.0
3.924 0.000 0.000
-1.962 3.398 0.000
0.000 0.000 6.196
Pm Ho Co
1 1 1
Direct
0.000 0.000 0.000 Pm
0.667 0.333 0.464 Ho
0.333 0.667 0.239 Co
```

Summary:
As for the density of states at the Fermi level: 2.68 states/eV/cell. The density is 7.4 g/cm³.

***

Stability summary: most stable B, least stable A.

***

## A
Entry from the Alexandria database: a geometry-optimized PmHoCo structure (PBE).

Geometry as POSCAR:
```
PmHoCo
1.0
6.137 -1.847 0.000
6.137 1.847 0.000
-4.806 0.000 6.548
Pm Ho Co
2 2 2
Direct
0.174 0.174 0.088 Pm
0.826 0.826 0.912 Pm
0.422 0.422 0.610 Ho
0.578 0.578 0.390 Ho
0.114 0.114 0.690 Co
0.886 0.886 0.310 Co
```

Summary:
As for the density of states at the Fermi level: 5.25 states/eV/cell. The density is 8.3 g/cm³.

***

## B
Entry from the Alexandria database: a geometry-optimized PmHoCo structure (PBE).

Geometry as POSCAR:
```
PmHoCo
1.0
6.209 0.000 0.000
0.000 4.002 0.000
-2.570 0.000 6.401
Pm Ho Co
2 2 2
Direct
0.250 0.000 0.249 Pm
0.750 0.000 0.751 Pm
0.235 0.500 0.745 Ho
0.765 0.500 0.255 Ho
0.000 0.000 0.500 Co
0.000 0.500 0.000 Co
```

Summary:
As for the density of states at the Fermi level: 5.88 states/eV/cell. The density is 7.7 g/cm³.

***

Stability summary: most stable A, least stable B.

***

## A
Entry from the Alexandria database: a geometry-optimized PmHo2Co2 structure (PBE).

Geometry as POSCAR:
```
PmHo2Co2
1.0
1.946 -7.341 0.000
1.946 7.341 0.000
0.000 0.000 3.979
Pm Ho Co
1 2 2
Direct
0.000 0.000 0.000 Pm
0.348 0.652 0.500 Ho
0.652 0.348 0.500 Ho
0.207 0.793 0.000 Co
0.793 0.207 0.000 Co
```

Summary:
As for the density of states at the Fermi level: 6.83 states/eV/cell. The density is 8.7 g/cm³.

***

## B
Entry from the Alexandria database: a geometry-optimized PmHo2Co2 structure (PBE).

Geometry as POSCAR:
```
PmHo2Co2
1.0
5.700 -1.875 0.000
5.700 1.875 0.000
-1.333 0.000 5.345
Pm Ho Co
1 2 2
Direct
0.000 0.000 0.000 Pm
0.350 0.350 0.417 Ho
0.650 0.650 0.583 Ho
0.280 0.280 0.895 Co
0.720 0.720 0.105 Co
```

Summary:
As for the density of states at the Fermi level: 4.61 states/eV/cell. The density is 8.6 g/cm³.

***

Stability summary: most stable A, least stable B.